1.
# Sb2Rh

A relaxed Sb2Rh crystal (PBE, Alexandria).

Lattice parameters (Å, degrees): 6.4859 6.4859 6.4859 90.00 90.00 90.00
With the nearest neighbours (Å) after each atom.
Space group Fm-3m (No. 225)
One atom of each set of equivalent atoms:
1 Sb 0.2500 0.2500 0.2500 (multiplicity 8)  4 Rh 2.81
2 Rh 0.0000 0.0000 0.0000 (multiplicity 4)  8 Sb 2.81

Magnetic moment, μB per formula unit: 0.0
E_form (uncorrected), kJ per mole of atoms: -31.4

=====

2.
# Ta4Co

A relaxed Ta4Co crystal (PBE, Alexandria).

Lattice parameters (Å, degrees): 4.5693 4.5693 4.5693 90.00 90.00 90.00
With the nearest neighbours (Å) after each atom.
Space group Pm-3m (No. 221)
One atom of each set of equivalent atoms:
1 Ta 0.0000 0.0000 0.0000 (multiplicity 1)  12 Ta 3.23
2 Ta 0.0000 0.5000 0.5000 (multiplicity 3)  2 Co 2.28
3 Co 0.5000 0.5000 0.5000 (multiplicity 1)  6 Ta 2.28

Magnetic moment, μB per formula unit: 0.0
Energy relative to the lowest polymorph listed for this composition, eV/f.u.: 0.156
E_form, meV per atom: 768

=====

3.
# CsGe2Se2

A relaxed CsGe2Se2 crystal (PBE, Alexandria).

Lattice parameters (Å, degrees): 5.1824 5.1824 10.9319 90.00 90.00 90.00
With the nearest neighbours (Å) after each atom.
Space group I4/mmm (No. 139)
One atom of each set of equivalent atoms:
1 Cs 0.0000 0.0000 0.0000 (multiplicity 2)  10 Ge 3.74-4.05, 8 Se 3.77
2 Ge 0.0000 0.0000 0.3418 (multiplicity 4)  4 Se 2.78
3 Se 0.0000 0.5000 0.2500 (multiplicity 4)  4 Ge 2.78

Magnetic moment, μB per formula unit: 0.0
Energy relative to the lowest polymorph listed for this composition, eV/f.u.: 0.000
E_form (uncorrected), kJ per mole of atoms: -37.2

=====

4.
# DyY2Ni9

A relaxed DyY2Ni9 crystal (PBE, Alexandria).

Lattice parameters (Å, degrees): 4.9709 4.9709 24.3765 90.00 90.00 120.00
With the nearest neighbours (Å) after each atom.
Space group R-3m (No. 166, hexagonal axes)
One atom of each set of equivalent atoms:
1 Dy 0.0000 0.0000 0.0000 (multiplicity 3)  18 Ni 2.87-3.18
2 Y 0.0000 0.0000 0.1388 (multiplicity 6)  12 Ni 2.85-3.10, 3 Y 3.18
3 Ni 0.0000 0.0000 0.3330 (multiplicity 6)  6 Ni 2.45-2.46
4 Ni 0.0000 0.0000 0.5000 (multiplicity 3)  6 Ni 2.52
5 Ni 0.0006 0.5003 0.9184 (multiplicity 18)  7 Ni 2.45-2.52

Magnetic moment, μB per formula unit: 1.0
E_form, meV per atom: -400

=====

5.
# TlCdIn

A relaxed TlCdIn crystal (PBE, Alexandria).

Lattice parameters (Å, degrees): 5.4528 6.1815 6.2549 95.60 115.41 113.38
With the nearest neighbours (Å) after each atom.
Space group P1 (No. 1)
One atom of each set of equivalent atoms:
1 Tl 0.0000 0.0000 0.0000 (multiplicity 1)  4 In 3.30-3.41, 6 Cd 3.36-3.57, 2 Tl 3.48-3.57
2 Tl 0.2586 0.5583 0.8464 (multiplicity 1)  4 Cd 3.27-3.58, 5 In 3.36-3.65, 2 Tl 3.48-3.57
3 Cd 0.3078 0.0267 0.6312 (multiplicity 1)  2 Cd 3.07-3.09, 2 In 3.24-3.25, 2 Tl 3.27-3.37
4 Cd 0.6841 0.0316 0.3796 (multiplicity 1)  2 Cd 3.07-3.09, 3 In 3.14-3.40, 3 Tl 3.34-3.36
5 In 0.5626 0.5208 0.4791 (multiplicity 1)  3 Cd 3.14-3.40, 2 In 3.21-3.29, 4 Tl 3.30-3.40
6 In 0.8697 0.4672 0.1538 (multiplicity 1)  3 Cd 3.17-3.45, 2 In 3.21-3.29, 4 Tl 3.36-3.41

Magnetic moment, μB per formula unit: 0.0
E_form, meV per atom: 48

=====

6.
# La2Pr8Pb

A relaxed La2Pr8Pb crystal (PBE, Alexandria).

Lattice parameters (Å, degrees): 18.3144 6.8104 6.4228 90.00 104.31 90.00
With the nearest neighbours (Å) after each atom.
Space group C2/m (No. 12)
One atom of each set of equivalent atoms:
1 La 0.2328 0.0000 0.3555 (multiplicity 4)  7 Pr 3.31-3.59
2 Pr 0.0866 0.0000 0.9313 (multiplicity 4)  1 La 3.31, 3 Pr 3.50-3.55
3 Pr 0.0876 0.2633 0.4555 (multiplicity 8)  4 Pr 3.22-3.59, 1 Pb 3.38, 2 La 3.40-3.59
4 Pr 0.1976 0.5000 0.0891 (multiplicity 4)  4 La 3.40-3.79, 1 Pb 3.52
5 Pb 0.0000 0.5000 0.0000 (multiplicity 2)  6 Pr 3.38-3.52

Magnetic moment, μB per formula unit: 0.0
Energy relative to the lowest polymorph listed for this composition, eV/f.u.: 1.274
E_form, meV per atom: 34

=====

Question: The highest magnetic moment belongs to which entry?
Answer: DyY2Ni9

=====

Question: Which formula does entry 3 have?
Answer: CsGe2Se2